1.
# Pm2Sm4TmSc, optimized geometry, DFT PBE
data_Pm2Sm4TmSc
_cell_length_a 5.0586
_cell_length_b 5.0723
_cell_length_c 10.0300
_cell_angle_alpha 90.00
_cell_angle_beta 90.04
_cell_angle_gamma 90.00
_symmetry_space_group_name_H-M 'P 1 2/m 1'
_symmetry_Int_Tables_number 10
loop_
_symmetry_equiv_pos_as_xyz
'x,y,z'
'-x,-y,-z'
'-x,y,-z'
'x,-y,z'
loop_
_atom_site_label
_atom_site_fract_x
_atom_site_fract_y
_atom_site_fract_z
_atom_site_occupancy
Pm1 0.0000 0.0000 0.0000 1
Pm2 0.5000 0.5000 0.5000 1
Sm1 0.9997 0.5000 0.2459 1
Sm2 0.4999 0.0000 0.2465 1
Tm1 0.0000 0.0000 0.5000 1
Sc1 0.5000 0.5000 0.0000 1
# E, eV for the cell shown: -38.94
# Energy of formation, eV/atom: 0.031
# Total magnetization, μB/cell: 0.00

=====

2.
# PmSm3Y6Sc2, optimized geometry, DFT PBE
data_PmSm3Y6Sc2
_cell_length_a 6.1403
_cell_length_b 10.6296
_cell_length_c 11.7251
_cell_angle_alpha 90.00
_cell_angle_beta 100.01
_cell_angle_gamma 90.00
_symmetry_space_group_name_H-M 'C 1 2/m 1'
_symmetry_Int_Tables_number 12
loop_
_symmetry_equiv_pos_as_xyz
'x,y,z'
'-x,-y,-z'
'-x,y,-z'
'x,-y,z'
'x+1/2,y+1/2,z'
'-x+1/2,-y+1/2,-z'
'-x+1/2,y+1/2,-z'
'x+1/2,-y+1/2,z'
loop_
_atom_site_label
_atom_site_fract_x
_atom_site_fract_y
_atom_site_fract_z
_atom_site_occupancy
Pm1 0.0000 0.0000 0.0000 1
Sm1 0.0000 0.1671 0.5000 1
Sm2 0.0000 0.5000 0.5000 1
Y1 0.2455 0.5000 0.2440 1
Y2 0.2500 0.1680 0.2440 1
Sc1 0.0000 0.3333 0.0000 1
# E, eV for the cell shown: -139.73
# Energy of formation, eV/atom: 0.041
# Total magnetization, μB/cell: 0.00

=====

3.
# PmSm2Y4Sc, optimized geometry, DFT PBE
data_PmSm2Y4Sc
_cell_length_a 13.5876
_cell_length_b 13.1562
_cell_length_c 6.7958
_cell_angle_alpha 90.00
_cell_angle_beta 119.99
_cell_angle_gamma 90.00
_symmetry_space_group_name_H-M 'C 1 2/c 1'
_symmetry_Int_Tables_number 15
loop_
_symmetry_equiv_pos_as_xyz
'x,y,z'
'-x,-y,-z'
'-x,y,-z+1/2'
'x,-y,z+1/2'
'x+1/2,y+1/2,z'
'-x+1/2,-y+1/2,-z'
'-x+1/2,y+1/2,-z+1/2'
'x+1/2,-y+1/2,z+1/2'
loop_
_atom_site_label
_atom_site_fract_x
_atom_site_fract_y
_atom_site_fract_z
_atom_site_occupancy
Pm1 0.2500 0.2500 0.0000 1
Sm1 0.0000 0.0000 0.0000 1
Sm2 0.2500 0.2500 0.5000 1
Y1 0.0000 0.2629 0.0002 1
Y2 0.2359 0.5000 0.4847 1
Sc1 0.0000 0.5000 0.0000 1
# E, eV for the cell shown: -172.01
# Energy of formation, eV/atom: 0.422
# Total magnetization, μB/cell: 12.18

=====

4.
# Pm5Sm2YSc, optimized geometry, DFT PBE
data_Pm5Sm2YSc
_cell_length_a 8.4814
_cell_length_b 8.4814
_cell_length_c 16.7224
_cell_angle_alpha 90.00
_cell_angle_beta 90.00
_cell_angle_gamma 90.00
_symmetry_space_group_name_H-M 'I 4/m c m'
_symmetry_Int_Tables_number 140
_symmetry_space_group_name_Hall '-I 4 2c'
loop_
_atom_site_label
_atom_site_fract_x
_atom_site_fract_y
_atom_site_fract_z
_atom_site_occupancy
Pm1 0.0000 0.0000 0.0000 1
Pm2 0.2138 0.2862 0.1441 1
Sm1 0.1237 0.3763 0.5000 1
Y1 0.0000 0.0000 0.2500 1
Sc1 0.0000 0.5000 0.2500 1
# E, eV for the cell shown: -173.62
# Energy of formation, eV/atom: 0.287
# Total magnetization, μB/cell: 0.00

=====

5.
# PmSmY2Sc4, optimized geometry, DFT PBE
data_PmSmY2Sc4
_cell_length_a 6.5656
_cell_length_b 11.3612
_cell_length_c 12.7043
_cell_angle_alpha 90.00
_cell_angle_beta 90.00
_cell_angle_gamma 90.00
_symmetry_space_group_name_H-M 'I m m a'
_symmetry_Int_Tables_number 74
_symmetry_space_group_name_Hall '-I 2b 2'
loop_
_atom_site_label
_atom_site_fract_x
_atom_site_fract_y
_atom_site_fract_z
_atom_site_occupancy
Pm1 0.0000 0.0000 0.0000 1
Sm1 0.2500 0.2500 0.2500 1
Y1 0.0000 0.0000 0.5000 1
Y2 0.2500 0.2500 0.7500 1
Sc1 0.0000 0.0009 0.2495 1
Sc2 0.2488 0.2500 0.9992 1
# E, eV for the cell shown: -177.05
# Energy of formation, eV/atom: 0.433
# Total magnetization, μB/cell: 15.75

=====

6.
# Pm6SmY2Sc, optimized geometry, DFT PBE
data_Pm6SmY2Sc
_cell_length_a 9.4258
_cell_length_b 15.3090
_cell_length_c 9.2259
_cell_angle_alpha 90.00
_cell_angle_beta 94.10
_cell_angle_gamma 90.00
_symmetry_space_group_name_H-M 'C 1 2/c 1'
_symmetry_Int_Tables_number 15
loop_
_symmetry_equiv_pos_as_xyz
'x,y,z'
'-x,-y,-z'
'-x,y,-z+1/2'
'x,-y,z+1/2'
'x+1/2,y+1/2,z'
'-x+1/2,-y+1/2,-z'
'-x+1/2,y+1/2,-z+1/2'
'x+1/2,-y+1/2,z+1/2'
loop_
_atom_site_label
_atom_site_fract_x
_atom_site_fract_y
_atom_site_fract_z
_atom_site_occupancy
Pm1 0.0522 0.1731 0.4453 1
Pm2 0.0942 0.3804 0.6068 1
Pm3 0.2324 0.2161 0.8041 1
Sm1 0.0000 0.0329 0.7500 1
Y1 0.2410 0.4509 0.9467 1
Sc1 0.0000 0.4240 0.2500 1
# E, eV for the cell shown: -204.77
# Energy of formation, eV/atom: 0.129
# Total magnetization, μB/cell: 0.00

=====

7.
# Pm2SmY6Sc3, optimized geometry, DFT PBE
data_Pm2SmY6Sc3
_cell_length_a 6.1145
_cell_length_b 10.5837
_cell_length_c 11.5693
_cell_angle_alpha 90.00
_cell_angle_beta 100.10
_cell_angle_gamma 90.00
_symmetry_space_group_name_H-M 'C 1 2/m 1'
_symmetry_Int_Tables_number 12
loop_
_symmetry_equiv_pos_as_xyz
'x,y,z'
'-x,-y,-z'
'-x,y,-z'
'x,-y,z'
'x+1/2,y+1/2,z'
'-x+1/2,-y+1/2,-z'
'-x+1/2,y+1/2,-z'
'x+1/2,-y+1/2,z'
loop_
_atom_site_label
_atom_site_fract_x
_atom_site_fract_y
_atom_site_fract_z
_atom_site_occupancy
Pm1 0.0000 0.1667 0.0000 1
Sm1 0.0000 0.5000 0.0000 1
Y1 0.2462 0.1667 0.7387 1
Y2 0.2461 0.5000 0.7387 1
Sc1 0.0000 0.0000 0.5000 1
Sc2 0.0000 0.3334 0.5000 1
# E, eV for the cell shown: -142.76
# Energy of formation, eV/atom: 0.051
# Total magnetization, μB/cell: 0.00

=====

8.
# Pm3SmY6Sc2, optimized geometry, DFT PBE
data_Pm3SmY6Sc2
_cell_length_a 6.1484
_cell_length_b 10.6465
_cell_length_c 11.7319
_cell_angle_alpha 90.00
_cell_angle_beta 100.04
_cell_angle_gamma 90.00
_symmetry_space_group_name_H-M 'C 1 2/m 1'
_symmetry_Int_Tables_number 12
loop_
_symmetry_equiv_pos_as_xyz
'x,y,z'
'-x,-y,-z'
'-x,y,-z'
'x,-y,z'
'x+1/2,y+1/2,z'
'-x+1/2,-y+1/2,-z'
'-x+1/2,y+1/2,-z'
'x+1/2,-y+1/2,z'
loop_
_atom_site_label
_atom_site_fract_x
_atom_site_fract_y
_atom_site_fract_z
_atom_site_occupancy
Pm1 0.0000 0.0000 0.0000 1
Pm2 0.0000 0.3329 0.0000 1
Sm1 0.0000 0.5000 0.5000 1
Y1 0.2449 0.0000 0.7432 1
Y2 0.2494 0.3319 0.7432 1
Sc1 0.0000 0.1668 0.5000 1
# E, eV for the cell shown: -139.85
# Energy of formation, eV/atom: 0.041
# Total magnetization, μB/cell: 0.00

=====

9.
# Pm6Sm3Y2Sc, optimized geometry, DFT PBE
data_Pm6Sm3Y2Sc
_cell_length_a 6.2500
_cell_length_b 10.8275
_cell_length_c 11.8669
_cell_angle_alpha 90.00
_cell_angle_beta 100.10
_cell_angle_gamma 90.00
_symmetry_space_group_name_H-M 'C 1 2/m 1'
_symmetry_Int_Tables_number 12
loop_
_symmetry_equiv_pos_as_xyz
'x,y,z'
'-x,-y,-z'
'-x,y,-z'
'x,-y,z'
'x+1/2,y+1/2,z'
'-x+1/2,-y+1/2,-z'
'-x+1/2,y+1/2,-z'
'x+1/2,-y+1/2,z'
loop_
_atom_site_label
_atom_site_fract_x
_atom_site_fract_y
_atom_site_fract_z
_atom_site_occupancy
Pm1 0.2463 0.1648 0.2455 1
Pm2 0.2481 0.0000 0.7543 1
Sm1 0.0000 0.1664 0.5000 1
Sm2 0.0000 0.5000 0.5000 1
Y1 0.0000 0.3334 0.0000 1
Sc1 0.0000 0.0000 0.0000 1
# E, eV for the cell shown: -123.24
# Energy of formation, eV/atom: 0.025
# Total magnetization, μB/cell: 0.00

=====

10.
# PmSm2Y6Sc3, optimized geometry, DFT PBE
data_PmSm2Y6Sc3
_cell_length_a 6.1085
_cell_length_b 10.5787
_cell_length_c 11.5681
_cell_angle_alpha 90.00
_cell_angle_beta 100.14
_cell_angle_gamma 90.00
_symmetry_space_group_name_H-M 'C 1 2/m 1'
_symmetry_Int_Tables_number 12
loop_
_symmetry_equiv_pos_as_xyz
'x,y,z'
'-x,-y,-z'
'-x,y,-z'
'x,-y,z'
'x+1/2,y+1/2,z'
'-x+1/2,-y+1/2,-z'
'-x+1/2,y+1/2,-z'
'x+1/2,-y+1/2,z'
loop_
_atom_site_label
_atom_site_fract_x
_atom_site_fract_y
_atom_site_fract_z
_atom_site_occupancy
Pm1 0.0000 0.0000 0.0000 1
Sm1 0.0000 0.3334 0.0000 1
Y1 0.2462 0.0000 0.7388 1
Y2 0.2463 0.3333 0.7390 1
Sc1 0.0000 0.1669 0.5000 1
Sc2 0.0000 0.5000 0.5000 1
# E, eV for the cell shown: -142.70
# Energy of formation, eV/atom: 0.051
# Total magnetization, μB/cell: 0.00